Entry from Alexandria: a geometry-optimized HfAl2Ir structure (PBE).

Calculated values
raw total energy: -111.94 eV for the cell shown
energy relative to the elements: -0.42 eV per atom
DOS(E_F): 1.1587 states/eV per atom
calculated density: 11.01 g/cm³

Unit cell a=6.351 b=6.351 c=6.351 alpha=90.00 beta=90.00 gamma=90.00
Space group Fm-3m (No. 225)
Symmetry-distinct sites (fractional):
Hf 0.000 0.000 0.000 [4 per cell]
Al 0.250 0.250 0.250 [8 per cell]
Ir 0.000 0.000 0.500 [4 per cell]